1.
Pr6SnTe3Ir2: relaxed, PBE-GGA.

Calculated values
* formation energy from raw total energies: -1.02 eV per atom
* M_tot: 0.0 Bohr magnetons per cell

The structure in CIF format:
```
data_Pr6SnTe3Ir2
_cell_length_a 19.7341
_cell_length_b 4.3467
_cell_length_c 9.1339
_cell_angle_alpha 90.00
_cell_angle_beta 106.88
_cell_angle_gamma 90.00
_space_group_name_H-M_alt 'C 1 2/m 1'
_space_group_IT_number 12
_space_group_name_Hall '-C 2y'
loop_
_atom_site_label
_atom_site_fract_x
_atom_site_fract_y
_atom_site_fract_z
_atom_site_occupancy
Pr1 0.0133 0.0000 0.2560 1
Pr2 0.1693 0.5000 0.1144 1
Pr3 0.1787 0.5000 0.5616 1
Sn1 0.0000 0.5000 0.0000 1
Te1 0.0000 0.5000 0.5000 1
Te2 0.1611 0.0000 0.8326 1
Ir1 0.1686 0.0000 0.3335 1
```

***

2.
Pr2ZnSn4Ir3: relaxed, PBE-GGA.

Calculated values
* M_tot: 0.0 Bohr magnetons per cell
* energy of formation from the pure elements: -5.125 eV per formula unit

The structure in CIF format:
```
data_Pr2ZnSn4Ir3
_cell_length_a 4.5167
_cell_length_b 4.5167
_cell_length_c 10.9973
_cell_angle_alpha 90.00
_cell_angle_beta 90.00
_cell_angle_gamma 90.00
_space_group_name_H-M_alt 'P -4 m 2'
_space_group_IT_number 115
_space_group_name_Hall 'P -4 -2'
loop_
_atom_site_label
_atom_site_fract_x
_atom_site_fract_y
_atom_site_fract_z
_atom_site_occupancy
Pr1 0.0000 0.5000 0.2462 1
Zn1 0.0000 0.0000 0.5000 1
Sn1 0.0000 0.0000 0.0000 1
Sn2 0.0000 0.5000 0.6347 1
Sn3 0.5000 0.5000 0.0000 1
Ir1 0.0000 0.5000 0.8705 1
Ir2 0.5000 0.5000 0.5000 1
```

***

3.
SrPrIr: relaxed, PBE-GGA.

Calculated values
* M_tot: 0.0 Bohr magnetons per cell
* energy relative to the lowest polymorph listed for this composition: 0.068 eV/atom
* energy of formation from the pure elements: -0.865 eV per formula unit

The structure in CIF format:
```
data_SrPrIr
_cell_length_a 3.5911
_cell_length_b 7.4524
_cell_length_c 7.4821
_cell_angle_alpha 104.26
_cell_angle_beta 90.03
_cell_angle_gamma 103.82
_space_group_name_H-M_alt 'P -1'
_space_group_IT_number 2
_space_group_name_Hall '-P 1'
loop_
_atom_site_label
_atom_site_fract_x
_atom_site_fract_y
_atom_site_fract_z
_atom_site_occupancy
Sr1 0.1202 0.2425 0.0605 1
Pr1 0.1216 0.2438 0.5591 1
Ir1 0.5004 0.0009 0.7167 1
```

***

4.
SrPrIr: relaxed, PBE-GGA.

Calculated values
* M_tot: 0.0 Bohr magnetons per cell
* energy relative to the lowest polymorph listed for this composition: 0.000 eV/atom
* energy of formation from the pure elements: -1.068 eV per formula unit

The structure in CIF format:
```
data_SrPrIr
_cell_length_a 3.9967
_cell_length_b 22.6787
_cell_length_c 4.3438
_cell_angle_alpha 90.00
_cell_angle_beta 90.00
_cell_angle_gamma 90.00
_space_group_name_H-M_alt 'C m c m'
_space_group_IT_number 63
_space_group_name_Hall '-C 2c 2'
loop_
_atom_site_label
_atom_site_fract_x
_atom_site_fract_y
_atom_site_fract_z
_atom_site_occupancy
Sr1 0.0000 0.1813 0.2500 1
Pr1 0.0000 0.4363 0.2500 1
Ir1 0.0000 0.0440 0.2500 1
```

***

5.
SrPrIr: relaxed, PBE-GGA.

Calculated values
* M_tot: 0.0 Bohr magnetons per cell
* energy relative to the lowest polymorph listed for this composition: 0.050 eV/atom
* energy of formation from the pure elements: -0.918 eV per formula unit

The structure in CIF format:
```
data_SrPrIr
_cell_length_a 4.2567
_cell_length_b 4.2567
_cell_length_c 6.7920
_cell_angle_alpha 90.00
_cell_angle_beta 90.00
_cell_angle_gamma 120.00
_space_group_name_H-M_alt 'P 3 m 1'
_space_group_IT_number 156
_space_group_name_Hall 'P 3 -2"'
loop_
_atom_site_label
_atom_site_fract_x
_atom_site_fract_y
_atom_site_fract_z
_atom_site_occupancy
Sr1 0.0000 0.0000 0.0000 1
Pr1 0.6667 0.3333 0.5360 1
Ir1 0.3333 0.6667 0.7399 1
```

***

6.
SrPr3Ir8: relaxed, PBE-GGA.

Calculated values
* M_tot: 0.0 Bohr magnetons per cell
* energy of formation from the pure elements: -6.804 eV per formula unit

The structure in CIF format:
```
data_SrPr3Ir8
_cell_length_a 5.4647
_cell_length_b 5.4647
_cell_length_c 26.7641
_cell_angle_alpha 90.00
_cell_angle_beta 90.00
_cell_angle_gamma 120.00
_space_group_name_H-M_alt 'R 3 m'
_space_group_IT_number 160
_space_group_name_Hall 'R 3 -2"'
loop_
_atom_site_label
_atom_site_fract_x
_atom_site_fract_y
_atom_site_fract_z
_atom_site_occupancy
Sr1 0.0000 0.0000 0.0000 1
Pr1 0.0000 0.0000 0.1240 1
Pr2 0.0000 0.0000 0.5009 1
Pr3 0.0000 0.0000 0.6270 1
Ir1 0.0000 0.0000 0.3130 1
Ir2 0.0000 0.0000 0.8129 1
Ir3 0.0014 0.5007 0.0637 1
Ir4 0.1674 0.3348 0.8956 1
```

***

7.
SrPrIr: relaxed, PBE-GGA.

Calculated values
* M_tot: 0.0 Bohr magnetons per cell
* energy relative to the lowest polymorph listed for this composition: 0.044 eV/atom
* energy of formation from the pure elements: -0.937 eV per formula unit

The structure in CIF format:
```
data_SrPrIr
_cell_length_a 7.1370
_cell_length_b 7.1370
_cell_length_c 7.1370
_cell_angle_alpha 90.00
_cell_angle_beta 90.00
_cell_angle_gamma 90.00
_space_group_name_H-M_alt 'F -4 3 m'
_space_group_IT_number 216
_space_group_name_Hall 'F -4 2 3'
loop_
_atom_site_label
_atom_site_fract_x
_atom_site_fract_y
_atom_site_fract_z
_atom_site_occupancy
Sr1 0.0000 0.0000 0.0000 1
Pr1 0.0000 0.0000 0.5000 1
Ir1 0.2500 0.2500 0.7500 1
```

***

8.
Sr2PrIr9: relaxed, PBE-GGA.

Calculated values
* M_tot: 0.0 Bohr magnetons per cell
* energy of formation from the pure elements: -3.241 eV per formula unit

The structure in CIF format:
```
data_Sr2PrIr9
_cell_length_a 5.4270
_cell_length_b 5.4270
_cell_length_c 26.5631
_cell_angle_alpha 90.00
_cell_angle_beta 90.00
_cell_angle_gamma 120.00
_space_group_name_H-M_alt 'R -3 m'
_space_group_IT_number 166
_space_group_name_Hall '-R 3 2"'
loop_
_atom_site_label
_atom_site_fract_x
_atom_site_fract_y
_atom_site_fract_z
_atom_site_occupancy
Sr1 0.0000 0.0000 0.1420 1
Pr1 0.0000 0.0000 0.0000 1
Ir1 0.0000 0.0000 0.3315 1
Ir2 0.0000 0.0000 0.5000 1
Ir3 0.0067 0.5034 0.0795 1
```

***

9.
SrPrIr: relaxed, PBE-GGA.

Calculated values
* M_tot: 0.0 Bohr magnetons per cell
* energy relative to the lowest polymorph listed for this composition: 0.197 eV/atom
* energy of formation from the pure elements: -0.478 eV per formula unit

The structure in CIF format:
```
data_SrPrIr
_cell_length_a 22.9853
_cell_length_b 4.1036
_cell_length_c 9.4507
_cell_angle_alpha 90.00
_cell_angle_beta 100.57
_cell_angle_gamma 90.00
_space_group_name_H-M_alt 'C 1 2/m 1'
_space_group_IT_number 12
_space_group_name_Hall '-C 2y'
loop_
_atom_site_label
_atom_site_fract_x
_atom_site_fract_y
_atom_site_fract_z
_atom_site_occupancy
Sr1 0.0240 0.0000 0.2188 1
Sr2 0.1118 0.5000 0.6101 1
Pr1 0.1578 0.0000 0.9734 1
Pr2 0.2014 0.0000 0.3758 1
Ir1 0.2152 0.0000 0.6898 1
Ir2 0.2275 0.5000 0.8703 1
```

***

10.
SrPrIr: relaxed, PBE-GGA.

Calculated values
* M_tot: 0.0 Bohr magnetons per cell
* energy relative to the lowest polymorph listed for this composition: 0.062 eV/atom
* energy of formation from the pure elements: -0.882 eV per formula unit

The structure in CIF format:
```
data_SrPrIr
_cell_length_a 3.6391
_cell_length_b 3.6391
_cell_length_c 14.0165
_cell_angle_alpha 90.00
_cell_angle_beta 90.00
_cell_angle_gamma 90.00
_space_group_name_H-M_alt 'I 4 m m'
_space_group_IT_number 107
_space_group_name_Hall 'I 4 -2'
loop_
_atom_site_label
_atom_site_fract_x
_atom_site_fract_y
_atom_site_fract_z
_atom_site_occupancy
Sr1 0.0000 0.0000 0.0000 1
Pr1 0.0000 0.0000 0.2466 1
Ir1 0.0000 0.0000 0.6415 1
```

***

11.
SrPrZnIr: relaxed, PBE-GGA.

Calculated values
* M_tot: 0.0 Bohr magnetons per cell
* energy of formation from the pure elements: -0.990 eV per formula unit

The structure in CIF format:
```
data_SrPrZnIr
_cell_length_a 7.3143
_cell_length_b 7.3143
_cell_length_c 7.3143
_cell_angle_alpha 90.00
_cell_angle_beta 90.00
_cell_angle_gamma 90.00
_space_group_name_H-M_alt 'F -4 3 m'
_space_group_IT_number 216
_space_group_name_Hall 'F -4 2 3'
loop_
_atom_site_label
_atom_site_fract_x
_atom_site_fract_y
_atom_site_fract_z
_atom_site_occupancy
Sr1 0.0000 0.0000 0.0000 1
Pr1 0.0000 0.0000 0.5000 1
Zn1 0.2500 0.2500 0.2500 1
Ir1 0.2500 0.2500 0.7500 1
```

***

12.
PrTa2Ir2: relaxed, PBE-GGA.

Calculated values
* M_tot: 0.0 Bohr magnetons per cell
* energy of formation from the pure elements: -3.022 eV per formula unit

The structure in CIF format:
```
data_PrTa2Ir2
_cell_length_a 4.4697
_cell_length_b 4.4697
_cell_length_c 10.6376
_cell_angle_alpha 90.00
_cell_angle_beta 90.00
_cell_angle_gamma 90.00
_space_group_name_H-M_alt 'I 4/m m m'
_space_group_IT_number 139
_space_group_name_Hall '-I 4 2'
loop_
_atom_site_label
_atom_site_fract_x
_atom_site_fract_y
_atom_site_fract_z
_atom_site_occupancy
Pr1 0.0000 0.0000 0.0000 1
Ta1 0.0000 0.5000 0.2500 1
Ir1 0.0000 0.0000 0.3736 1
```

***

13.
PrTaIr2: relaxed, PBE-GGA.

Calculated values
* M_tot: 0.0 Bohr magnetons per cell
* energy of formation from the pure elements: -2.073 eV per formula unit

The structure in CIF format:
```
data_PrTaIr2
_cell_length_a 3.1658
_cell_length_b 3.1658
_cell_length_c 7.7324
_cell_angle_alpha 90.00
_cell_angle_beta 90.00
_cell_angle_gamma 90.00
_space_group_name_H-M_alt 'P 4/m m m'
_space_group_IT_number 123
_space_group_name_Hall '-P 4 2'
loop_
_atom_site_label
_atom_site_fract_x
_atom_site_fract_y
_atom_site_fract_z
_atom_site_occupancy
Pr1 0.0000 0.0000 0.0000 1
Ta1 0.0000 0.0000 0.5000 1
Ir1 0.5000 0.5000 0.3019 1
```

***

14.
PrTaTiIr2: relaxed, PBE-GGA.

Calculated values
* M_tot: 0.0 Bohr magnetons per cell
* energy of formation from the pure elements: -3.547 eV per formula unit

The structure in CIF format:
```
data_PrTaTiIr2
_cell_length_a 4.4000
_cell_length_b 4.4000
_cell_length_c 10.6597
_cell_angle_alpha 90.00
_cell_angle_beta 90.00
_cell_angle_gamma 90.00
_space_group_name_H-M_alt 'I -4 m 2'
_space_group_IT_number 119
_space_group_name_Hall 'I -4 -2'
loop_
_atom_site_label
_atom_site_fract_x
_atom_site_fract_y
_atom_site_fract_z
_atom_site_occupancy
Pr1 0.0000 0.0000 0.0000 1
Ta1 0.0000 0.5000 0.2500 1
Ti1 0.0000 0.5000 0.7500 1
Ir1 0.0000 0.0000 0.3757 1
```

***

15.
PrZrTaIr2: relaxed, PBE-GGA.

Calculated values
* M_tot: 0.0 Bohr magnetons per cell
* energy of formation from the pure elements: -3.356 eV per formula unit

The structure in CIF format:
```
data_PrZrTaIr2
_cell_length_a 4.5251
_cell_length_b 4.5251
_cell_length_c 10.7423
_cell_angle_alpha 90.00
_cell_angle_beta 90.00
_cell_angle_gamma 90.00
_space_group_name_H-M_alt 'I -4 m 2'
_space_group_IT_number 119
_space_group_name_Hall 'I -4 -2'
loop_
_atom_site_label
_atom_site_fract_x
_atom_site_fract_y
_atom_site_fract_z
_atom_site_occupancy
Pr1 0.0000 0.0000 0.0000 1
Zr1 0.0000 0.5000 0.2500 1
Ta1 0.0000 0.5000 0.7500 1
Ir1 0.0000 0.0000 0.3773 1
```

***

16.
TbPr2Ir: relaxed, PBE-GGA.

Calculated values
* M_tot: 0.0 Bohr magnetons per cell
* energy relative to the lowest polymorph listed for this composition: 0.000 eV/atom
* energy of formation from the pure elements: -1.834 eV per formula unit

The structure in CIF format:
```
data_TbPr2Ir
_cell_length_a 7.3541
_cell_length_b 9.9520
_cell_length_c 6.4835
_cell_angle_alpha 90.00
_cell_angle_beta 90.00
_cell_angle_gamma 90.00
_space_group_name_H-M_alt 'P n m a'
_space_group_IT_number 62
_space_group_name_Hall '-P 2ac 2n'
loop_
_atom_site_label
_atom_site_fract_x
_atom_site_fract_y
_atom_site_fract_z
_atom_site_occupancy
Tb1 0.0386 0.2500 0.1509 1
Pr1 0.1779 0.0661 0.6731 1
Ir1 0.1212 0.7500 0.4532 1
```

***

17.
Tb2PrIr: relaxed, PBE-GGA.

Calculated values
* M_tot: 0.0 Bohr magnetons per cell
* energy relative to the lowest polymorph listed for this composition: 0.115 eV/atom
* energy of formation from the pure elements: -1.608 eV per formula unit

The structure in CIF format:
```
data_Tb2PrIr
_cell_length_a 3.5180
_cell_length_b 3.5180
_cell_length_c 8.9855
_cell_angle_alpha 90.00
_cell_angle_beta 90.00
_cell_angle_gamma 90.00
_space_group_name_H-M_alt 'P 4/m m m'
_space_group_IT_number 123
_space_group_name_Hall '-P 4 2'
loop_
_atom_site_label
_atom_site_fract_x
_atom_site_fract_y
_atom_site_fract_z
_atom_site_occupancy
Tb1 0.0000 0.0000 0.1808 1
Pr1 0.5000 0.5000 0.5000 1
Ir1 0.5000 0.5000 0.0000 1
```

***

18.
Tb3PrIr2: relaxed, PBE-GGA.

Calculated values
* M_tot: 0.0 Bohr magnetons per cell
* energy of formation from the pure elements: -3.670 eV per formula unit

The structure in CIF format:
```
data_Tb3PrIr2
_cell_length_a 19.9016
_cell_length_b 4.4338
_cell_length_c 7.6522
_cell_angle_alpha 90.00
_cell_angle_beta 111.18
_cell_angle_gamma 90.00
_space_group_name_H-M_alt 'C 1 2/m 1'
_space_group_IT_number 12
_space_group_name_Hall '-C 2y'
loop_
_atom_site_label
_atom_site_fract_x
_atom_site_fract_y
_atom_site_fract_z
_atom_site_occupancy
Tb1 0.0373 0.0000 0.2314 1
Tb2 0.0912 0.5000 0.6655 1
Tb3 0.1865 0.5000 0.3816 1
Pr1 0.1804 0.0000 0.0228 1
Ir1 0.0752 0.5000 0.0154 1
Ir2 0.1627 0.0000 0.5905 1
```

***

19.
Tb2PrIr: relaxed, PBE-GGA.

Calculated values
* M_tot: 0.0 Bohr magnetons per cell
* energy relative to the lowest polymorph listed for this composition: 0.150 eV/atom
* energy of formation from the pure elements: -1.466 eV per formula unit

The structure in CIF format:
```
data_Tb2PrIr
_cell_length_a 4.0282
_cell_length_b 4.0282
_cell_length_c 26.8595
_cell_angle_alpha 90.00
_cell_angle_beta 90.00
_cell_angle_gamma 120.00
_space_group_name_H-M_alt 'R 3 m'
_space_group_IT_number 160
_space_group_name_Hall 'R 3 -2"'
loop_
_atom_site_label
_atom_site_fract_x
_atom_site_fract_y
_atom_site_fract_z
_atom_site_occupancy
Tb1 0.0000 0.0000 0.0000 1
Tb2 0.0000 0.0000 0.2225 1
Pr1 0.0000 0.0000 0.4470 1
Ir1 0.0000 0.0000 0.6113 1
```

***

20.
TbPr2Ir: relaxed, PBE-GGA.

Calculated values
* M_tot: 1.4 Bohr magnetons per cell
* energy relative to the lowest polymorph listed for this composition: 0.446 eV/atom
* energy of formation from the pure elements: -0.051 eV per formula unit

The structure in CIF format:
```
data_TbPr2Ir
_cell_length_a 3.8490
_cell_length_b 3.8490
_cell_length_c 32.2745
_cell_angle_alpha 90.00
_cell_angle_beta 90.00
_cell_angle_gamma 120.00
_space_group_name_H-M_alt 'R -3 m'
_space_group_IT_number 166
_space_group_name_Hall '-R 3 2"'
loop_
_atom_site_label
_atom_site_fract_x
_atom_site_fract_y
_atom_site_fract_z
_atom_site_occupancy
Tb1 0.0000 0.0000 0.0000 1
Pr1 0.0000 0.0000 0.1118 1
Ir1 0.0000 0.0000 0.5000 1
```

***

| no. | ρ (g/cm³) |
| --- | --- |
| 1 | 7.67 |
| 2 | 10.35 |
| 3 | 7.43 |
| 4 | 7.10 |
| 5 | 6.56 |
| 6 | 14.74 |
| 7 | 7.69 |
| 8 | 15.04 |
| 9 | 6.38 |
| 10 | 7.53 |
| 11 | 8.25 |
| 12 | 13.86 |
| 13 | 15.13 |
| 14 | 12.14 |
| 15 | 12.04 |
| 16 | 8.86 |
| 17 | 9.72 |
| 18 | 10.57 |
| 19 | 8.59 |
| 20 | 7.61 |